a | Entry from Alexandria via LeMat-Bulk: a geometry-optimized AcAl6Pd2 structure (GGA-PBE).

Output
Total magnetic moment: 0.000 μB/f.u.

Cell and atoms, written as POSCAR:
```
AcAl6Pd2
1.0
0.0000 5.9996 5.9996
5.9996 0.0000 5.9996
5.9996 5.9996 0.0000
Ac Al Pd
2 12 4
Cartesian
1.4999 1.4999 1.4999
10.4993 10.4993 10.4993
4.4997 4.4997 1.7580
4.4997 1.7580 4.4997
7.2414 4.4997 4.4997
7.4995 7.4995 4.7578
7.4995 4.7578 7.4995
10.2412 7.4995 7.4995
1.7580 4.4997 4.4997
4.4997 7.2414 4.4997
4.4997 4.4997 7.2414
4.7578 7.4995 7.4995
7.4995 10.2412 7.4995
7.4995 7.4995 10.2412
5.9996 2.9998 2.9998
2.9998 5.9996 2.9998
2.9998 2.9998 5.9996
5.9996 5.9996 5.9996
```

***

b | Entry from Alexandria via LeMat-Bulk: a geometry-optimized AcAl6Pd2 structure (GGA-PBE).

Output
Total magnetic moment: 0.000 μB/f.u.

Cell and atoms, written as POSCAR:
```
AcAl6Pd2
1.0
-2.1249 4.5622 4.5702
2.1249 -4.5622 4.5702
2.1249 4.5622 -4.5702
Ac Al Pd
1 6 2
Cartesian
0.0000 0.0000 0.0000
2.1249 -1.4613 2.6415
2.1249 2.5424 0.0000
2.1249 1.4613 2.6415
0.0000 3.1009 1.9288
0.0000 2.0198 4.5702
0.0000 6.0235 1.9288
0.0000 0.0000 3.0806
0.0000 0.0000 6.0599
```

***

b is favored, and the nearest alternative lies 397 meV per atom above it.

***

a | Entry from Alexandria via LeMat-Bulk: a geometry-optimized Ac3Al2Pd7 structure (GGA-PBE).

Output
Total magnetic moment: 0.000 μB/f.u.

Cell and atoms, written as POSCAR:
```
Ac3Al2Pd7
1.0
4.3660 0.0000 0.0000
0.0000 4.2788 0.0000
-2.1728 0.0000 13.8794
Ac Al Pd
3 2 7
Cartesian
0.0000 0.0000 0.0000
0.0035 2.1394 8.8334
2.1897 2.1394 5.0460
0.0026 0.0000 3.5692
2.1906 0.0000 10.3103
0.0093 2.1394 2.2742
0.0056 0.0000 6.0808
0.0058 0.0000 11.5985
2.1830 2.1394 0.0000
2.1874 0.0000 2.2809
2.1876 0.0000 7.7987
2.1839 2.1394 11.6052
```

***

b | Entry from Alexandria via LeMat-Bulk: a geometry-optimized Ac3Al2Pd7 structure (GGA-PBE).

Output
Total magnetic moment: 0.000 μB/f.u.

Cell and atoms, written as POSCAR:
```
Ac3Al2Pd7
1.0
2.1850 -14.8854 0.0000
2.1850 14.8854 0.0000
0.0000 0.0000 4.2303
Ac Al Pd
3 2 7
Cartesian
0.0000 0.0000 0.0000
2.1850 8.9909 0.0000
2.1850 -8.9909 0.0000
2.1850 2.4501 2.1151
2.1850 -2.4501 2.1151
2.1850 11.2591 2.1151
2.1850 5.7686 2.1151
2.1850 3.6937 0.0000
2.1850 0.0000 2.1151
2.1850 -3.6937 0.0000
2.1850 -5.7686 2.1151
2.1850 -11.2591 2.1151
```

***

a is favored, and the nearest alternative lies 122 meV per atom above it.

***

a | Entry from Alexandria via LeMat-Bulk: a geometry-optimized AcAl3Pd2 structure (GGA-PBE).

Output
Total magnetic moment: 0.000 μB/f.u.

Cell and atoms, written as POSCAR:
```
AcAl3Pd2
1.0
5.6720 0.0000 0.0000
-2.8360 4.9121 0.0000
0.0000 0.0000 4.2368
Ac Al Pd
1 3 2
Cartesian
0.0000 0.0000 0.0000
-1.4180 2.4561 2.1184
2.8360 0.0000 2.1184
1.4180 2.4561 2.1184
0.0000 3.2748 0.0000
2.8360 1.6374 0.0000
```

***

b | Entry from Alexandria via LeMat-Bulk: a geometry-optimized AcAl3Pd2 structure (GGA-PBE).

Output
Total magnetic moment: 0.000 μB/f.u.

Cell and atoms, written as POSCAR:
```
AcAl3Pd2
1.0
5.2558 -4.1118 0.0000
5.2558 4.1118 0.0000
0.0000 0.0000 5.5356
Ac Al Pd
2 6 4
Cartesian
5.2558 2.8097 4.1517
5.2558 -2.8097 1.3839
3.2431 2.2919 1.3839
7.2685 2.2919 1.3839
5.2558 0.5433 1.3839
5.2558 -0.5433 4.1517
3.2431 -2.2919 4.1517
7.2685 -2.2919 4.1517
3.1244 0.0000 0.0000
3.1244 0.0000 2.7678
7.3872 0.0000 0.0000
7.3872 0.0000 2.7678
```

***

a is favored, and the nearest alternative lies 14 meV per atom above it.

***

a | Entry from Alexandria via LeMat-Bulk: a geometry-optimized AcAlPd3 structure (GGA-PBE).

Output
Total magnetic moment: 0.000 μB/f.u.

Cell and atoms, written as POSCAR:
```
AcAlPd3
1.0
6.3436 0.0000 0.0000
-3.1718 5.4937 0.0000
0.0000 0.0000 12.0849
Ac Al Pd
4 4 12
Cartesian
0.0000 0.0000 0.0000
0.0000 0.0000 6.0425
0.0000 3.6625 3.0212
3.1718 1.8312 9.0637
0.0000 3.6625 7.7320
0.0000 3.6625 10.3954
3.1718 1.8312 1.6896
3.1718 1.8312 4.3529
-1.5859 2.7469 0.0000
-1.5859 2.7469 6.0425
0.0000 1.5622 9.0637
-1.8189 4.7126 9.0637
1.3529 0.7811 3.0212
3.1718 0.0000 0.0000
3.1718 0.0000 6.0425
1.5859 2.7469 0.0000
1.5859 2.7469 6.0425
1.8189 4.7126 9.0637
4.9907 0.7811 3.0212
3.1718 3.9315 3.0212
```

***

b | Entry from Alexandria via LeMat-Bulk: a geometry-optimized AcAlPd3 structure (GGA-PBE).

Output
Total magnetic moment: 0.000 μB/f.u.

Cell and atoms, written as POSCAR:
```
AcAlPd3
1.0
4.7790 0.0000 0.0000
0.0000 4.7790 0.0000
0.0000 0.0000 4.7790
Ac Al Pd
1 1 3
Cartesian
0.0000 0.0000 0.0000
2.3895 2.3895 2.3895
0.0000 2.3895 2.3895
2.3895 0.0000 2.3895
2.3895 2.3895 0.0000
```

***

a is favored, and the nearest alternative lies 143 meV per atom above it.

***

a | Entry from Alexandria via LeMat-Bulk: a geometry-optimized AcAl2Pd2 structure (GGA-PBE).

Output
Total magnetic moment: 0.000 μB/f.u.

Cell and atoms, written as POSCAR:
```
AcAl2Pd2
1.0
4.5162 0.0000 0.0000
0.0000 4.5162 0.0000
0.0000 0.0000 10.2454
Ac Al Pd
2 4 4
Cartesian
1.1291 1.1291 2.5389
3.3872 3.3872 7.7065
1.1291 1.1291 9.0473
1.1291 3.3872 5.1227
3.3872 1.1291 5.1227
3.3872 3.3872 1.1981
1.1291 1.1291 6.4444
1.1291 3.3872 0.0000
3.3872 1.1291 0.0000
3.3872 3.3872 3.8010
```

***

b | Entry from Alexandria via LeMat-Bulk: a geometry-optimized AcAl2Pd2 structure (GGA-PBE).

Output
Total magnetic moment: 0.000 μB/f.u.

Cell and atoms, written as POSCAR:
```
AcAl2Pd2
1.0
3.4600 -3.1735 0.0000
3.4600 3.1735 0.0000
0.0000 0.0000 9.7476
Ac Al Pd
2 4 4
Cartesian
3.4600 1.7508 7.3107
3.4600 -1.7508 2.4369
3.4600 1.2917 0.9959
3.4600 1.2917 3.8780
3.4600 -1.2917 5.8697
3.4600 -1.2917 8.7518
1.4571 0.0000 0.0000
1.4571 0.0000 4.8738
5.4630 0.0000 0.0000
5.4630 0.0000 4.8738
```

***

a is favored, and the nearest alternative lies 44 meV per atom above it.

***

a | Entry from Alexandria via LeMat-Bulk: a geometry-optimized SrAcAlPd structure (GGA-PBE).

Output
Total magnetic moment: 0.000 μB/f.u.

Cell and atoms, written as POSCAR:
```
SrAcAlPd
1.0
0.0000 3.8661 3.8661
3.8661 0.0000 3.8661
3.8661 3.8661 0.0000
Sr Ac Al Pd
1 1 1 1
Cartesian
0.0000 0.0000 0.0000
3.8661 3.8661 3.8661
5.7992 5.7992 5.7992
1.9331 1.9331 1.9331
```

***

b | Entry from Alexandria via LeMat-Bulk: a geometry-optimized SrAcAlPd structure (GGA-PBE).

Output
Total magnetic moment: 0.001 μB/f.u.

Cell and atoms, written as POSCAR:
```
SrAcAlPd
1.0
2.2182 1.2807 8.0801
-2.2182 1.2807 8.0801
0.0000 -2.5614 8.0801
Sr Ac Al Pd
1 1 1 1
Cartesian
0.0000 0.0000 0.0000
0.0000 0.0000 19.9963
0.0000 0.0000 5.9098
0.0000 0.0000 13.9666
```

***

b is favored, and the nearest alternative lies 146 meV per atom above it.

***

a | Entry from Alexandria via LeMat-Bulk: a geometry-optimized AcPmAl2 structure (GGA-PBE).

Output
Total magnetic moment: 0.000 μB/f.u.

Cell and atoms, written as POSCAR:
```
AcPmAl2
1.0
2.4522 -6.4781 0.0000
2.4522 6.4781 0.0000
0.0000 0.0000 7.3028
Ac Pm Al
2 2 4
Cartesian
2.4522 5.6261 5.4771
2.4522 -5.6261 1.8257
2.4522 3.6218 1.8257
2.4522 -3.6218 5.4771
2.4522 1.2969 4.1597
2.4522 1.2969 6.7945
2.4522 -1.2969 0.5083
2.4522 -1.2969 3.1431
```

***

b | Entry from Alexandria via LeMat-Bulk: a geometry-optimized AcPmAl2 structure (GGA-PBE).

Output
Total magnetic moment: 0.000 μB/f.u.

Cell and atoms, written as POSCAR:
```
AcPmAl2
1.0
0.0000 3.8342 3.8342
3.8342 0.0000 3.8342
3.8342 3.8342 0.0000
Ac Pm Al
1 1 2
Cartesian
0.0000 0.0000 0.0000
3.8342 3.8342 3.8342
1.9171 1.9171 1.9171
5.7514 5.7514 5.7514
```

***

c | Entry from Alexandria via LeMat-Bulk: a geometry-optimized AcPmAl2 structure (GGA-PBE).

Output
Total magnetic moment: 0.000 μB/f.u.

Cell and atoms, written as POSCAR:
```
AcPmAl2
1.0
1.9333 1.1162 9.5451
-1.9333 1.1162 9.5451
0.0000 -2.2323 9.5451
Ac Pm Al
1 1 2
Cartesian
0.0000 0.0000 0.0000
0.0000 0.0000 14.3177
0.0000 0.0000 7.0283
0.0000 0.0000 21.6070
```

***

d | Entry from Alexandria via LeMat-Bulk: a geometry-optimized AcPmAl2 structure (GGA-PBE).

Output
Total magnetic moment: 0.000 μB/f.u.

Cell and atoms, written as POSCAR:
```
AcPmAl2
1.0
7.5304 0.0000 0.0000
0.0000 7.2460 0.0000
0.0000 0.0000 9.0042
Ac Pm Al
4 4 8
Cartesian
0.0045 1.8115 1.6402
3.7607 5.4345 6.1423
3.7697 1.8115 2.8620
7.5258 5.4345 7.3641
1.3574 1.8115 6.1429
2.4078 5.4345 1.6408
5.1226 1.8115 7.3634
6.1730 5.4345 2.8613
1.2274 4.0952 4.1433
1.2274 6.7738 4.1433
2.5378 0.4722 8.6454
2.5378 3.1508 8.6454
4.9926 4.0952 0.3588
4.9926 6.7738 0.3588
6.3030 0.4722 4.8609
6.3030 3.1508 4.8609
```

***

a is favored, and the nearest alternative lies 70 meV per atom above it.

***

a | Entry from Alexandria via LeMat-Bulk: a geometry-optimized Ac2PmAl structure (GGA-PBE).

Output
Total magnetic moment: 0.000 μB/f.u.

Cell and atoms, written as POSCAR:
```
Ac2PmAl
1.0
0.0000 4.0964 4.0964
4.0964 0.0000 4.0964
4.0964 4.0964 0.0000
Ac Pm Al
2 1 1
Cartesian
2.0482 2.0482 2.0482
6.1446 6.1446 6.1446
0.0000 0.0000 0.0000
4.0964 4.0964 4.0964
```

***

b | Entry from Alexandria via LeMat-Bulk: a geometry-optimized Ac2PmAl structure (GGA-PBE).

Output
Total magnetic moment: 0.694 μB/f.u.

Cell and atoms, written as POSCAR:
```
Ac2PmAl
1.0
1.8863 1.0891 12.2706
-1.8863 1.0891 12.2706
0.0000 -2.1781 12.2706
Ac Pm Al
2 1 1
Cartesian
0.0000 0.0000 3.6791
0.0000 0.0000 33.1328
0.0000 0.0000 0.0000
0.0000 0.0000 18.4059
```

***

a is favored, and the nearest alternative lies 176 meV per atom above it.